Computed, not measured: a relaxed Tb3Y3Th2 crystal at the PBE level of DFT.

Cell lengths 7.176, 14.314, 6.169 Å; angles 90.00, 125.56, 90.00 degrees
Fractional coordinates of all 16 atoms:
Tb 0.000 0.000 0.000
Tb 0.000 0.372 0.500
Tb 0.000 0.628 0.500
Tb 0.500 0.128 0.500
Tb 0.500 0.500 0.000
Tb 0.500 0.872 0.500
Y 0.000 0.128 0.500
Y 0.000 0.500 0.000
Y 0.000 0.872 0.500
Y 0.500 0.000 0.000
Y 0.500 0.372 0.500
Y 0.500 0.628 0.500
Th 0.000 0.250 0.000
Th 0.000 0.750 0.000
Th 0.500 0.250 0.000
Th 0.500 0.750 0.000

Calculated values
The relative energy among the computed polymorphs comes out at 0.0112 eV/atom. Its formation energy is 0.037 eV/atom. For the total magnetization, the calculation gives 0.0 μB/cell. For the final energy, the calculation gives -5.98 eV per atom.